(1)
A relaxed AcPdI2O8 crystal. Source: Alexandria via LeMat-Bulk, functional PBE.

volume = 18.75 A^3/atom
magnetic moment = 1.0 μB/f.u.
uncorrected energy = -5.20 eV per atom
density = 5.28 g cm⁻³
uncorrected formation energy = -861 meV/atom

Structure (POSCAR):
```
AcPdI2O8
1.0
6.1410 0.0000 0.0000
-3.0705 5.3183 0.0000
0.0000 0.0000 6.8903
Ac Pd I O
1 1 2 8
direct
0.0000 0.0000 0.0000
0.0000 0.0000 0.5000
0.3333 0.6667 0.3121
0.6667 0.3333 0.6879
0.1481 0.2962 0.2934
0.1481 0.8519 0.2934
0.2962 0.1481 0.7066
0.3333 0.6667 0.0479
0.6667 0.3333 0.9521
0.7038 0.8519 0.2934
0.8519 0.1481 0.7066
0.8519 0.7038 0.7066
```

(2)
A relaxed Ti2ZnSn2 crystal. Source: Alexandria via LeMat-Bulk, functional PBE.

volume = 19.88 A^3/atom
magnetic moment = 0.0 μB/f.u.
polymorph energy (0 for the lowest one) = 0.121 eV per atom
uncorrected energy = -5.04 eV per atom
density = 6.66 g cm⁻³
formation energy from the elements = -0.11 eV per formula unit

Structure (POSCAR):
```
Ti2ZnSn2
1.0
7.1800 0.0000 0.0000
0.0000 7.1800 0.0000
0.0000 0.0000 3.8566
Ti Zn Sn
4 2 4
direct
0.1545 0.3455 0.0000
0.3455 0.8455 0.0000
0.6545 0.1545 0.0000
0.8455 0.6545 0.0000
0.0000 0.0000 0.5000
0.5000 0.5000 0.5000
0.1463 0.6463 0.5000
0.3537 0.1463 0.5000
0.6463 0.8537 0.5000
0.8537 0.3537 0.5000
```

(3)
A relaxed YU3Tl3Te8 crystal. Source: Alexandria via LeMat-Bulk, functional PBE.

volume = 37.15 A^3/atom
magnetic moment = 8.0 μB/f.u.
uncorrected energy = -5.53 eV per atom
density = 7.26 g cm⁻³
uncorrected formation energy = -691 meV/atom

Structure (POSCAR):
```
YU3Tl3Te8
1.0
4.3980 2.5392 8.3178
-4.3980 2.5392 8.3178
0.0000 -5.0783 8.3178
Y U Tl Te
1 3 3 8
direct
0.0000 0.0000 0.0000
0.0000 0.5000 0.5000
0.5000 0.0000 0.5000
0.5000 0.5000 0.0000
0.0000 0.0000 0.5000
0.0000 0.5000 0.0000
0.5000 0.0000 0.0000
0.2388 0.2388 0.7364
0.2388 0.7364 0.2388
0.2612 0.2612 0.2612
0.2636 0.7612 0.7612
0.7364 0.2388 0.2388
0.7388 0.7388 0.7388
0.7612 0.2636 0.7612
0.7612 0.7612 0.2636
```

(4)
A relaxed LaNi2Pt crystal. Source: Alexandria via LeMat-Bulk, functional PBE.

volume = 20.74 A^3/atom
magnetic moment = 0.5 μB/f.u.
uncorrected energy = -5.98 eV per atom
density = 9.04 g cm⁻³
formation energy from the elements = -1.37 eV per formula unit

Structure (POSCAR):
```
LaNi2Pt
1.0
-2.1761 2.1761 8.7591
2.1761 -2.1761 8.7591
2.1761 2.1761 -8.7591
La Ni Pt
2 4 2
direct
0.0000 0.0000 0.0000
0.7500 0.2500 0.5000
0.3077 0.6250 0.1827
0.3750 0.5577 0.6827
0.4423 0.1250 0.8173
0.8750 0.6923 0.3173
0.2500 0.7500 0.5000
0.5000 0.5000 0.0000
```

(5)
A relaxed Tl2Au2Br crystal. Source: Alexandria via LeMat-Bulk, functional PBE.

volume = 27.08 A^3/atom
magnetic moment = 0.0 μB/f.u.
polymorph energy (0 for the lowest one) = 0.212 eV per atom
uncorrected energy = -2.66 eV per atom
density = 10.82 g cm⁻³
uncorrected formation energy = -67 meV/atom

Structure (POSCAR):
```
Tl2Au2Br
1.0
8.5040 0.0000 0.0000
0.0000 8.5040 0.0000
0.0000 0.0000 3.7450
Tl Au Br
4 4 2
direct
0.1927 0.3073 0.0000
0.3073 0.8073 0.0000
0.6927 0.1927 0.0000
0.8073 0.6927 0.0000
0.1127 0.6127 0.5000
0.3873 0.1127 0.5000
0.6127 0.8873 0.5000
0.8873 0.3873 0.5000
0.0000 0.0000 0.0000
0.5000 0.5000 0.0000
```

(6)
A relaxed CdCoW3 crystal. Source: Alexandria via LeMat-Bulk, functional PBE.

volume = 21.93 A^3/atom
magnetic moment = 0.0 μB/f.u.
polymorph energy (0 for the lowest one) = 2.052 eV per atom
uncorrected energy = -5.97 eV per atom
density = 10.95 g cm⁻³
formation energy from the elements = 17.05 eV per formula unit

Structure (POSCAR):
```
CdCoW3
1.0
4.7865 0.0000 0.0000
0.0000 4.7865 0.0000
0.0000 0.0000 4.7865
Cd Co W
1 1 3
direct
0.0000 0.0000 0.0000
0.5000 0.5000 0.5000
0.0000 0.0000 0.5000
0.0000 0.5000 0.0000
0.5000 0.0000 0.0000
```

(7)
A relaxed RbIn12Hg4 crystal. Source: Alexandria via LeMat-Bulk, functional PBE.

volume = 30.84 A^3/atom
magnetic moment = 0.0 μB/f.u.
uncorrected energy = -2.00 eV per atom
density = 7.18 g cm⁻³
formation energy from the elements = 1.11 eV per formula unit

Structure (POSCAR):
```
RbIn12Hg4
1.0
-5.0795 5.0795 5.0795
5.0795 -5.0795 5.0795
5.0795 5.0795 -5.0795
Rb In Hg
1 12 4
direct
0.0000 0.0000 0.0000
0.1524 0.3546 0.5070
0.1524 0.6454 0.7977
0.2023 0.8476 0.3546
0.3546 0.2023 0.8476
0.3546 0.5070 0.1524
0.4930 0.8476 0.6454
0.5070 0.1524 0.3546
0.6454 0.4930 0.8476
0.6454 0.7977 0.1524
0.7977 0.1524 0.6454
0.8476 0.3546 0.2023
0.8476 0.6454 0.4930
0.0000 0.0000 0.5000
0.0000 0.5000 0.0000
0.5000 0.0000 0.0000
0.5000 0.5000 0.5000
```

(8)
A relaxed RbCaTmCl6 crystal. Source: Alexandria via LeMat-Bulk, functional PBE.

volume = 34.57 A^3/atom
magnetic moment = 0.0 μB/f.u.
uncorrected energy = -4.36 eV per atom
density = 2.71 g cm⁻³
uncorrected formation energy = -2297 meV/atom

Structure (POSCAR):
```
RbCaTmCl6
1.0
7.0816 0.0000 0.0000
-3.5408 6.1329 0.0000
0.0000 0.0000 14.3267
Rb Ca Tm Cl
2 2 2 12
direct
0.0000 0.0000 0.0000
0.0000 0.0000 0.5000
0.3333 0.6667 0.2500
0.6667 0.3333 0.7500
0.3333 0.6667 0.7500
0.6667 0.3333 0.2500
0.0146 0.3815 0.6451
0.0146 0.6331 0.8549
0.3669 0.3815 0.8549
0.3669 0.9854 0.6451
0.3815 0.0146 0.1451
0.3815 0.3669 0.3549
0.6185 0.6331 0.6451
0.6185 0.9854 0.8549
0.6331 0.0146 0.3549
0.6331 0.6185 0.1451
0.9854 0.3669 0.1451
0.9854 0.6185 0.3549
```

(9)
A relaxed Ta2InCo crystal. Source: Alexandria via LeMat-Bulk, functional PBE.

volume = 17.51 A^3/atom
magnetic moment = 0.5 μB/f.u.
uncorrected energy = -8.23 eV per atom
density = 12.70 g cm⁻³
formation energy from the elements = 0.61 eV per formula unit

Structure (POSCAR):
```
Ta2InCo
1.0
4.0080 0.0000 0.0000
0.0000 1.5233 5.7359
0.0000 -1.5233 5.7359
Ta In Co
2 1 1
direct
0.0000 0.0000 0.0000
0.5000 0.3686 0.3686
0.0000 0.7325 0.7325
0.5000 0.5847 0.5847
```

(10)
A relaxed KMgAl2Cl8 crystal. Source: Alexandria via LeMat-Bulk, functional PBE.

volume = 30.33 A^3/atom
magnetic moment = 1.0 μB/f.u.
uncorrected energy = -3.57 eV per atom
density = 1.83 g cm⁻³
uncorrected formation energy = -1489 meV/atom

Structure (POSCAR):
```
KMgAl2Cl8
1.0
3.3143 1.9135 9.5659
-3.3143 1.9135 9.5659
0.0000 -3.8271 9.5659
K Mg Al Cl
1 1 2 8
direct
0.0000 0.0000 0.0000
0.5000 0.5000 0.5000
0.2534 0.2534 0.2534
0.7466 0.7466 0.7466
0.0665 0.4484 0.7969
0.2031 0.9335 0.5516
0.3285 0.3285 0.3285
0.4484 0.7969 0.0665
0.5516 0.2031 0.9335
0.6715 0.6715 0.6715
0.7969 0.0665 0.4484
0.9335 0.5516 0.2031
```

(11)
A relaxed La3DyY2S6 crystal. Source: Alexandria via LeMat-Bulk, functional PBE.

volume = 23.19 A^3/atom
magnetic moment = 0.0 μB/f.u.
uncorrected energy = -6.85 eV per atom
density = 5.66 g cm⁻³
uncorrected formation energy = -2091 meV/atom

Structure (POSCAR):
```
La3DyY2S6
1.0
3.4658 -6.0169 0.0000
3.4658 6.0169 0.0000
-2.3211 0.0000 6.6732
La Dy Y S
3 1 2 6
direct
0.0000 0.0000 0.0000
0.3330 0.6670 0.0000
0.6670 0.3330 0.0000
0.5000 0.5000 0.5000
0.1666 0.8334 0.5000
0.8334 0.1666 0.5000
0.0908 0.4235 0.2699
0.2440 0.2440 0.7304
0.4235 0.0908 0.2699
0.5765 0.9092 0.7301
0.7560 0.7560 0.2696
0.9092 0.5765 0.7301
```

(12)
A relaxed ZnCo2Te crystal. Source: Alexandria via LeMat-Bulk, functional PBE.

volume = 14.16 A^3/atom
magnetic moment = 0.9 μB/f.u.
polymorph energy (0 for the lowest one) = 0.084 eV per atom
uncorrected energy = -4.38 eV per atom
density = 9.12 g cm⁻³
uncorrected formation energy = 274 meV/atom

Structure (POSCAR):
```
ZnCo2Te
1.0
-1.8255 1.8256 4.2482
1.8255 -1.8256 4.2482
1.8255 1.8256 -4.2482
Zn Co Te
1 2 1
direct
0.0000 0.0000 0.0000
0.2492 0.7492 0.5000
0.4993 0.4993 0.0000
0.7501 0.2501 0.5000
```